[1]
Entry from Alexandria via LeMat-Bulk: a relaxed structure of PrHo2Ta (GGA-PBE).

Computed properties:
Its space group is R-3m. The electronic total energy comes out at -5.8158 eV/atom. The density of states at the Fermi level comes out at 1.4079 states/eV/atom.

```
PrHo2Ta
1.0
3.296 0.000 0.000
-1.648 2.854 0.000
0.000 0.000 35.554
Pr Ho Ta
3 6 3
Direct
0.000 0.000 0.000
0.333 0.667 0.667
0.667 0.333 0.333
0.000 0.000 0.418
0.000 0.000 0.582
0.333 0.667 0.085
0.333 0.667 0.248
0.667 0.333 0.752
0.667 0.333 0.915
0.000 0.000 0.500
0.333 0.667 0.167
0.667 0.333 0.833
```

---

[2]
Entry from Alexandria via LeMat-Bulk: a relaxed structure of Tb6Pr5Ho2 (GGA-PBE).

Computed properties:
Its space group is Pbam. The electronic total energy comes out at -4.5874 eV/atom. The density of states at the Fermi level comes out at 1.2155 states/eV/atom.

```
Tb6Pr5Ho2
1.0
11.726 0.000 0.000
0.000 20.741 0.000
0.000 0.000 3.626
Tb Pr Ho
12 10 4
Direct
0.062 0.081 0.000
0.081 0.368 0.000
0.175 0.639 0.500
0.325 0.139 0.500
0.419 0.868 0.000
0.438 0.581 0.000
0.562 0.419 0.000
0.581 0.132 0.000
0.675 0.861 0.500
0.825 0.361 0.500
0.919 0.632 0.000
0.938 0.919 0.000
0.000 0.500 0.500
0.084 0.227 0.500
0.198 0.949 0.500
0.302 0.449 0.500
0.416 0.727 0.500
0.500 0.000 0.500
0.584 0.273 0.500
0.698 0.551 0.500
0.802 0.051 0.500
0.916 0.773 0.500
0.171 0.789 0.000
0.329 0.289 0.000
0.671 0.711 0.000
0.829 0.211 0.000
```